DFT (meta-GGA SCAN) results for a crystal of EuBN2 relaxed with PBEsol.

abc: 6.8155 7.2437 7.2437
angles: 69.36 71.72 108.28
Closest atoms and distances in Å follow each position.
Sites, in units of the cell vectors:
Eu 0.2500 0.5491 0.5491  7 N 2.44-2.60
Eu 0.7991 0.5491 0.9019  7 N 2.44-2.60
Eu 0.7009 0.9019 0.5491  7 N 2.44-2.60
Eu 0.2009 0.4509 0.0981  7 N 2.44-2.60
Eu 0.2991 0.0981 0.4509  7 N 2.44-2.60
Eu 0.7500 0.4509 0.4509  7 N 2.44-2.60
B 0.2500 0.8782 0.8782  3 N 1.46
B 0.1282 0.8782 0.2437  3 N 1.46
B 0.3718 0.2437 0.8782  3 N 1.46
B 0.8718 0.1218 0.7563  3 N 1.46
B 0.6282 0.7563 0.1218  3 N 1.46
B 0.7500 0.1218 0.1218  3 N 1.46
N 0.2500 0.1240 0.1240  2 B 1.46
N 0.3740 0.1240 0.7520  2 B 1.46
N 0.1260 0.7520 0.1240  2 B 1.46
N 0.6260 0.8760 0.2480  2 B 1.46
N 0.8740 0.2480 0.8760  2 B 1.46
N 0.7500 0.8760 0.8760  2 B 1.46
N 0.2500 0.7554 0.7554  1 B 1.46
N 0.0054 0.7554 0.4892  1 B 1.46
N 0.4946 0.4892 0.7554  1 B 1.46
N 0.9946 0.2446 0.5108  1 B 1.46
N 0.5054 0.5108 0.2446  1 B 1.46
N 0.7500 0.2446 0.2446  1 B 1.46

raw total energy: -508.753 eV/cell
SG: R-3c
energy relative to the elements, uncorrected: -1.27 eV/atom
crystal system: trigonal

***

DFT (meta-GGA SCAN) results for a crystal of InCu6O8 relaxed with PBEsol.

abc: 6.4422 6.4422 6.4422
angles: 60.00 60.00 60.00
Closest atoms and distances in Å follow each position.
Sites, in units of the cell vectors:
In 0.0000 0.0000 0.0000  8 O 2.26
Cu 0.5000 0.5000 0.0000  4 O 1.90
Cu 0.5000 0.0000 0.0000  4 O 1.90
Cu 0.5000 0.0000 0.5000  4 O 1.90
Cu 0.0000 0.0000 0.5000  4 O 1.90
Cu 0.0000 0.5000 0.5000  4 O 1.90
Cu 0.0000 0.5000 0.0000  4 O 1.90
O 0.1430 0.5710 0.1430  3 Cu 1.90
O 0.1430 0.1430 0.5710  3 Cu 1.90
O 0.1430 0.1430 0.1430  3 Cu 1.90
O 0.8570 0.8570 0.4290  3 Cu 1.90
O 0.5710 0.1430 0.1430  3 Cu 1.90
O 0.4290 0.8570 0.8570  3 Cu 1.90
O 0.8570 0.4290 0.8570  3 Cu 1.90
O 0.8570 0.8570 0.8570  3 Cu 1.90

raw total energy: -187.998 eV/cell
SG: Fm-3m
energy relative to the elements, uncorrected: -0.90 eV/atom
crystal system: cubic

***

DFT (meta-GGA SCAN) results for a crystal of TiNb3Ga relaxed with PBEsol.

abc: 4.7010 4.7010 4.7010
angles: 90.00 90.00 90.00
Closest atoms and distances in Å follow each position.
Sites, in units of the cell vectors:
Nb 0.0000 0.5000 0.0000  2 Ga 2.35
Nb 0.0000 0.0000 0.5000  2 Ga 2.35
Nb 0.5000 0.0000 0.0000  2 Ga 2.35
Ga 0.0000 0.0000 0.0000  6 Nb 2.35
Ti 0.5000 0.5000 0.5000  12 Nb 3.32

raw total energy: -126.814 eV/cell
E above lowest polymorph: 0 meV/atom
SG: Pm-3m
crystal system: cubic
formation energy: 990 meV/atom